# 1
Here is a relaxed Ba4Pb6F19 crystal from Alexandria via LeMat-Bulk. Energies are from PBE.

```
Ba4Pb6F19
1.0
-5.416 5.416 5.416
5.416 -5.416 5.416
5.416 5.416 -5.416
Ba Pb F
4 6 19
Cartesian
1.535 1.535 -1.535 Ba
1.535 -1.535 1.535 Ba
-1.535 1.535 1.535 Ba
3.881 3.881 3.881 Ba
5.416 1.702 0.000 Pb
5.416 0.000 3.714 Pb
3.714 5.416 0.000 Pb
1.702 0.000 5.416 Pb
0.000 5.416 1.702 Pb
0.000 3.714 5.416 Pb
0.000 0.000 0.000 F
3.214 0.000 0.000 F
7.617 0.000 0.000 F
6.033 -1.901 2.365 F
3.515 3.051 -0.618 F
3.051 -0.618 3.515 F
0.000 3.214 0.000 F
0.000 0.000 3.214 F
7.316 3.051 0.618 F
2.365 6.033 -1.901 F
4.798 1.901 2.365 F
-0.618 3.515 3.051 F
2.365 4.798 1.901 F
1.901 2.365 4.798 F
0.000 7.617 0.000 F
0.000 0.000 7.617 F
3.051 0.618 7.316 F
-1.901 2.365 6.033 F
0.618 7.316 3.051 F
```

- VASP energy: -0.187 hartree per atom
- Space-group type: I23, No. 197

***

# 2
Here is a relaxed Ba3PbF crystal from Alexandria via LeMat-Bulk. Energies are from PBE.

```
Ba3PbF
1.0
5.597 0.000 0.000
0.000 5.597 0.000
0.000 0.000 5.597
Ba Pb F
3 1 1
Cartesian
0.000 0.000 2.798 Ba
0.000 2.798 0.000 Ba
2.798 0.000 0.000 Ba
2.798 2.798 2.798 Pb
0.000 0.000 0.000 F
```

- VASP energy: -0.132 hartree per atom
- Space-group type: Pm-3m, No. 221

***

# 3
Here is a relaxed Ba2PbF crystal from Alexandria via LeMat-Bulk. Energies are from PBE.

```
Ba2PbF
1.0
2.225 1.285 8.034
-2.225 1.285 8.034
0.000 -2.569 8.034
Ba Pb F
2 1 1
Cartesian
0.000 0.000 5.663 Ba
0.000 0.000 18.439 Ba
0.000 0.000 0.000 Pb
0.000 0.000 12.051 F
```

- VASP energy: -0.141 hartree per atom
- Space-group type: R-3m, No. 166

***

no.,raw formation energy (eV/atom)
1,-2.83
2,-1.33
3,-1.49